[1]
# Zr2AlAu | Alexandria | PBE | optimized geometry
data_Zr2AlAu
_space_group_name_H-M_alt 'C 1 m 1'
_space_group_IT_number 8
_space_group_name_Hall 'C -2y'
_cell_length_a 11.012
_cell_length_b 3.263
_cell_length_c 4.931
_cell_angle_alpha 90.00
_cell_angle_beta 116.34
_cell_angle_gamma 90.00
loop_
_atom_site_label
_atom_site_type_symbol
_atom_site_fract_x
_atom_site_fract_y
_atom_site_fract_z
Zr1 Zr 0.000 0.000 0.000
Zr2 Zr 0.234 0.000 0.740
Al1 Al 0.467 0.000 0.467
Au1 Au 0.258 0.500 0.265
# DFT formation energy (kJ/mol of formula units): -171
# DOS(E_F) (states/eV per atom): 0.924

[2]
# Cs2P2Pd | Alexandria | PBE | optimized geometry
data_Cs2P2Pd
_space_group_name_H-M_alt 'C m c m'
_space_group_IT_number 63
_space_group_name_Hall '-C 2c 2'
_cell_length_a 6.938
_cell_length_b 15.177
_cell_length_c 6.255
_cell_angle_alpha 90.00
_cell_angle_beta 90.00
_cell_angle_gamma 90.00
loop_
_atom_site_label
_atom_site_type_symbol
_atom_site_fract_x
_atom_site_fract_y
_atom_site_fract_z
Cs1 Cs 0.000 0.080 0.250
Cs2 Cs 0.000 0.287 0.750
P1 P 0.157 0.400 0.250
Pd1 Pd 0.000 0.500 0.000
# DFT formation energy (kJ/mol of formula units): -255
# DOS(E_F) (states/eV per atom): 0.000